A plane-wave DFT calculation with PBE with a Hubbard U was carried out for crystalline Rb2CoBrF6 at its relaxed geometry.

Results
As for the symmetry: I4/mmm. As for the density of states at the Fermi level: 0.00 states/eV per atom. The calculation puts the final energy at -39.8 eV for the cell shown. The value obtained for the spin magnetization is 2.00 μB per formula unit.

a b c (Å): 6.7612 6.7612 6.3628
angles (deg): 57.91 57.91 90.00
Site moments in Bohr magnetons follow the coordinates.
Fractional coordinates of all 10 atoms:
Br  0.0000  0.0000  0.0000  -0.03
Co  0.5000  0.5000  0.0000  2.04
F  0.2368  0.2368  0.5264  0.01
F  0.3084  0.3084  0.0000  -0.02
F  0.7632  0.7632  0.4736  0.01
F  0.6916  0.3084  0.0000  -0.02
F  0.3084  0.6916  0.0000  -0.02
F  0.6916  0.6916  0.0000  -0.02
Rb  0.2500  0.7500  0.5000  0.00
Rb  0.7500  0.2500  0.5000  0.00